No. 1
KBr3F12 after structural relaxation. Source: the Alexandria database, functional PBE.

Calculated values
As for the crystal system: hexagonal. As for the space group: No. 176. Its formation energy from raw total energies is -15.942 eV per formula unit.

a b c (Å): 5.693 10.409 10.409
angles (deg): 120.00 90.00 90.00
Element x y z (fractional)
K: 0.750 0.667 0.333
K: 0.250 0.333 0.667
Br: 0.250 0.996 0.690
Br: 0.250 0.694 0.004
Br: 0.250 0.310 0.306
Br: 0.750 0.690 0.694
Br: 0.750 0.306 0.996
Br: 0.750 0.004 0.310
F: 0.250 0.994 0.860
F: 0.750 0.979 0.479
F: 0.507 0.805 0.624
F: 0.993 0.805 0.624
F: 0.750 0.521 0.500
F: 0.993 0.819 0.195
F: 0.507 0.819 0.195
F: 0.250 0.866 0.006
F: 0.507 0.376 0.181
F: 0.993 0.376 0.181
F: 0.750 0.860 0.866
F: 0.250 0.500 0.979
F: 0.750 0.500 0.021
F: 0.250 0.140 0.134
F: 0.007 0.624 0.819
F: 0.493 0.624 0.819
F: 0.750 0.134 0.994
F: 0.493 0.181 0.805
F: 0.007 0.181 0.805
F: 0.250 0.479 0.500
F: 0.493 0.195 0.376
F: 0.007 0.195 0.376
F: 0.250 0.021 0.521
F: 0.750 0.006 0.140

***

No. 2
HoSc2F after structural relaxation. Source: the Alexandria database, functional PBE.

Calculated values
As for the crystal system: trigonal. As for the space group: No. 166. Its formation energy from raw total energies is -4.272 eV per formula unit.

a b c (Å): 3.434 3.434 8.361
angles (deg): 78.15 78.15 60.00
Element x y z (fractional)
Sc: 0.723 0.723 0.831
Sc: 0.277 0.277 0.169
Ho: 0.500 0.500 0.500
F: 0.000 0.000 0.000

***

No. 3
ZrCu3Ni after structural relaxation. Source: the Alexandria database, functional PBE.

Calculated values
As for the crystal system: cubic. As for the space group: No. 221. The distance to the lowest polymorph of the same formula comes out at 1138.7 meV per atom. Its formation enthalpy at 0 K is 1.68 eV per atom.

a b c (Å): 4.806 4.806 4.806
angles (deg): 90.00 90.00 90.00
Last column: magnetic moment on the atom in μB.
Element x y z (fractional)
Ni: 0.500 0.500 0.500  0.77
Cu: 0.000 0.500 0.000  0.01
Cu: 0.000 0.000 0.500  0.02
Cu: 0.500 0.000 0.000  0.03
Zr: 0.000 0.000 0.000  0.24

***

No. 4
Tl2Cu2HgPd5 after structural relaxation. Source: the Alexandria database, functional PBE.

Calculated values
As for the crystal system: tetragonal. As for the space group: No. 127. Its formation enthalpy at 0 K is -0.09 eV per atom.

a b c (Å): 4.003 9.349 9.349
angles (deg): 90.00 90.00 90.00
Element x y z (fractional)
Tl: 0.000 0.669 0.169
Tl: 0.000 0.331 0.831
Tl: 0.000 0.169 0.331
Tl: 0.000 0.831 0.669
Cu: 0.000 0.125 0.625
Cu: 0.000 0.875 0.375
Cu: 0.000 0.625 0.875
Cu: 0.000 0.375 0.125
Hg: 0.000 0.000 0.000
Hg: 0.000 0.500 0.500
Pd: 0.500 0.198 0.086
Pd: 0.500 0.802 0.914
Pd: 0.500 0.086 0.802
Pd: 0.500 0.698 0.414
Pd: 0.500 0.914 0.198
Pd: 0.500 0.302 0.586
Pd: 0.500 0.586 0.698
Pd: 0.500 0.414 0.302
Pd: 0.500 0.500 0.000
Pd: 0.500 0.000 0.500

***

No. 5
AcNd3Se4 after structural relaxation. Source: the Alexandria database, functional PBE.

Calculated values
As for the crystal system: hexagonal. As for the space group: No. 194. Its formation energy from raw total energies is -14.641 eV per formula unit. The distance to the lowest polymorph of the same formula comes out at 4.0 meV per atom.

a b c (Å): 4.251 4.251 28.635
angles (deg): 90.00 90.00 120.00
Element x y z (fractional)
Ac: 0.667 0.333 0.750
Ac: 0.333 0.667 0.250
Nd: 0.000 0.000 0.000
Nd: 0.000 0.000 0.500
Nd: 0.333 0.667 0.880
Nd: 0.667 0.333 0.120
Nd: 0.667 0.333 0.380
Nd: 0.333 0.667 0.620
Se: 0.667 0.333 0.940
Se: 0.333 0.667 0.060
Se: 0.333 0.667 0.440
Se: 0.667 0.333 0.560
Se: 0.000 0.000 0.820
Se: 0.000 0.000 0.180
Se: 0.000 0.000 0.320
Se: 0.000 0.000 0.680